Compound: Li4Zn4Rh3
Source: Alexandria
Functional: PBE-GGA
Structure: optimized geometry

Geometry as POSCAR:
```
Li4Zn4Rh3
1.0
-1.3400 0.4443 2.3821
2.8276 -2.4788 2.0495
7.3482 9.3724 5.5837
Zn Li Rh
4 4 3
Direct
0.0761 0.2831 0.4325 Zn
0.9239 0.7169 0.5675 Zn
0.6866 0.0947 0.8123 Zn
0.3134 0.9053 0.1877 Zn
0.4678 0.4560 0.0860 Li
0.6224 0.8121 0.3747 Li
0.3776 0.1879 0.6253 Li
0.5322 0.5440 0.9140 Li
0.2425 0.6308 0.7401 Rh
0.0000 0.0000 0.0000 Rh
0.7574 0.3692 0.2599 Rh
```

Properties
Magnetization: 0.196 μB/cell
Total energy: -3.43 eV/atom
Density of states at the Fermi level: 4.94 states/eV/f.u.

Compound: LiZn2Rh2
Source: Alexandria
Functional: PBE-GGA
Structure: optimized geometry

Geometry as POSCAR:
```
LiZn2Rh2
1.0
-2.6357 6.2923 1.4787
-3.0375 -2.6153 5.7149
2.4859 0.6598 1.6233
Rh Zn Li
4 4 2
Direct
0.3513 0.1487 0.5000 Rh
0.6487 0.8513 0.5000 Rh
0.1487 0.6487 0.5000 Rh
0.8513 0.3513 0.5000 Rh
0.6479 0.1479 0.0000 Zn
0.3521 0.8521 0.0000 Zn
0.8521 0.6479 0.0000 Zn
0.1479 0.3521 0.0000 Zn
0.5000 0.5000 0.0000 Li
0.0000 0.0000 0.0000 Li
```

Properties
Magnetization: 0.000 μB/cell
Energy above the most stable polymorph in this dataset: 0.36 eV per formula unit
Total energy: -4.11 eV/atom
Density of states at the Fermi level: 2.36 states/eV/f.u.

Compound: Li3Zn5Rh3
Source: Alexandria
Functional: PBE-GGA
Structure: optimized geometry

Geometry as POSCAR:
```
Li3Zn5Rh3
1.0
2.7813 0.0000 0.0000
0.0000 7.1495 -4.1277
0.0000 0.0000 8.2555
Zn Rh Li
5 3 3
Direct
0.5000 0.6610 0.6610 Zn
0.5000 0.6667 0.3333 Zn
0.5000 0.3390 0.0000 Zn
0.5000 0.0000 0.3390 Zn
0.5000 0.3333 0.6667 Zn
0.0000 0.4099 0.4099 Rh
0.0000 0.0000 0.5901 Rh
0.0000 0.5901 0.0000 Rh
0.5000 0.8281 0.0000 Li
0.5000 0.1719 0.1719 Li
0.5000 0.0000 0.8281 Li
```

Properties
Magnetization: 0.151 μB/cell
Total energy: -3.05 eV/atom
Density of states at the Fermi level: 6.94 states/eV/f.u.

Compound: Li2ZnRh
Source: Alexandria
Functional: PBE-GGA
Structure: optimized geometry

Geometry as POSCAR:
```
Li2ZnRh
1.0
-1.2466 0.6417 -2.2697
3.3296 -0.9426 -2.0952
-1.6719 -4.8800 -0.4614
Li Zn Rh
2 1 1
Direct
0.0000 0.0000 0.4829 Li
0.0000 0.0000 0.0171 Li
0.5000 0.5000 0.7500 Zn
0.5000 0.5000 0.2500 Rh
```

Properties
Magnetization: 0.348 μB/cell
Total energy: -3.29 eV/atom
Density of states at the Fermi level: 2.70 states/eV/f.u.

Compound: Li3ZnRh
Source: Alexandria
Functional: PBE-GGA
Structure: optimized geometry

Geometry as POSCAR:
```
Li3ZnRh
1.0
-3.4527 -1.3106 -2.4487
2.4566 0.3815 -3.6680
1.2957 -4.2157 0.4293
Li Rh Zn
3 1 1
Direct
0.0000 0.5000 0.0000 Li
0.0000 0.0000 0.5000 Li
0.5000 0.0000 0.0000 Li
0.5000 0.5000 0.5000 Rh
0.0000 0.0000 0.0000 Zn
```

Properties
Magnetization: 0.065 μB/cell
Energy above the most stable polymorph in this dataset: 3.81 eV per formula unit
Total energy: -2.35 eV/atom
Density of states at the Fermi level: 1.67 states/eV/f.u.

Compound: Li2Zn7Rh
Source: Alexandria
Functional: PBE-GGA
Structure: optimized geometry

Geometry as POSCAR:
```
Li2Zn7Rh
1.0
-3.7261 -1.0817 1.6848
0.5104 -0.0275 -4.1990
3.0948 -9.9724 0.4416
Li Zn Rh
2 7 1
Direct
0.3333 0.6667 0.7726 Li
0.6667 0.3333 0.3494 Li
0.3333 0.6667 0.5009 Zn
0.6667 0.3333 0.8490 Zn
0.3333 0.6667 0.0223 Zn
0.6667 0.3333 0.5973 Zn
0.0000 0.0000 0.6859 Zn
0.6667 0.3333 0.0987 Zn
0.0000 0.0000 0.1974 Zn
0.0000 0.0000 0.9430 Rh
```

Properties
Magnetization: 0.000 μB/cell
Total energy: -2.11 eV/atom
Density of states at the Fermi level: 3.07 states/eV/f.u.

Compound: Li3Zn3Rh2
Source: Alexandria
Functional: PBE-GGA
Structure: optimized geometry

Geometry as POSCAR:
```
Li3Zn3Rh2
1.0
-1.8596 0.9947 -3.6963
1.0163 -3.7555 -1.5219
-5.3180 -2.2752 2.0632
Rh Zn Li
2 3 3
Direct
0.0000 0.0000 0.2526 Rh
0.0000 0.0000 0.7474 Rh
0.5000 0.0000 0.5000 Zn
0.0000 0.5000 0.0000 Zn
0.0000 0.5000 0.5000 Zn
0.5000 0.0000 0.0000 Li
0.5000 0.5000 0.7517 Li
0.5000 0.5000 0.2483 Li
```

Properties
Magnetization: 0.000 μB/cell
Total energy: -3.40 eV/atom
Density of states at the Fermi level: 2.35 states/eV/f.u.

Compound: Li2Zn2Rh
Source: Alexandria
Functional: PBE-GGA
Structure: optimized geometry

Geometry as POSCAR:
```
Li2Zn2Rh
1.0
4.2297 0.0097 0.0304
2.1212 3.6594 0.0304
2.1454 1.2395 4.3047
Zn Rh Li
2 1 2
Direct
0.2054 0.7054 0.3835 Zn
0.7946 0.2946 0.6165 Zn
0.0000 0.5000 0.0000 Rh
0.3999 0.8999 0.8006 Li
0.6001 0.1001 0.1994 Li
```

Properties
Magnetization: 0.000 μB/cell
Energy above the most stable polymorph in this dataset: 0.25 eV per formula unit
Total energy: -3.01 eV/atom
Density of states at the Fermi level: 1.89 states/eV/f.u.

Compound: Li2ZnRh
Source: Alexandria
Functional: PBE-GGA
Structure: optimized geometry

Geometry as POSCAR:
```
Li2ZnRh
1.0
9.1105 -0.0048 -0.0028
8.6912 2.7322 -0.0028
8.6912 1.3316 2.3858
Li Rh Zn
2 1 1
Direct
0.2425 0.2425 0.2425 Li
0.0056 0.0056 0.0056 Li
0.4993 0.4993 0.4993 Rh
0.7526 0.7526 0.7526 Zn
```

Properties
Magnetization: 0.178 μB/cell
Total energy: -3.23 eV/atom
Density of states at the Fermi level: 3.52 states/eV/f.u.

Compound: Li2ZnRh
Source: Alexandria
Functional: PBE-GGA
Structure: optimized geometry

Geometry as POSCAR:
```
Li2ZnRh
1.0
2.7111 0.0434 0.0000
-1.0077 2.5172 0.0000
0.0000 0.0000 8.7791
Li Rh Zn
2 1 1
Direct
0.0000 0.0000 0.9811 Li
0.5000 0.5000 0.2757 Li
0.0000 0.0000 0.5045 Rh
0.5000 0.5000 0.7386 Zn
```

Properties
Magnetization: 0.000 μB/cell
Total energy: -3.22 eV/atom
Density of states at the Fermi level: 2.39 states/eV/f.u.

Compound: Li2Zn3Rh2
Source: Alexandria
Functional: PBE-GGA
Structure: optimized geometry

Geometry as POSCAR:
```
Li2Zn3Rh2
1.0
-0.9963 -2.1880 -3.5168
2.5677 0.1440 -3.3987
4.6454 -3.3618 3.3650
Rh Li Zn
2 2 3
Direct
0.5765 0.2117 0.8644 Rh
0.4235 0.7883 0.1356 Rh
0.7154 0.6422 0.5730 Li
0.2846 0.3578 0.4270 Li
0.1434 0.9282 0.7149 Zn
0.0000 0.5000 0.0000 Zn
0.8566 0.0718 0.2851 Zn
```

Properties
Magnetization: 0.000 μB/cell
Total energy: -3.53 eV/atom
Density of states at the Fermi level: 2.56 states/eV/f.u.

Compound: Li2Zn3Rh
Source: Alexandria
Functional: PBE-GGA
Structure: optimized geometry

Geometry as POSCAR:
```
Li2Zn3Rh
1.0
5.1004 -1.1263 -0.9992
-3.1908 6.7830 -0.9682
-1.0735 0.4409 5.7306
Li Zn Rh
4 6 2
Direct
0.7802 0.3306 0.6081 Li
0.4568 0.6773 0.9333 Li
0.5432 0.3227 0.0667 Li
0.2198 0.6694 0.3919 Li
0.3964 0.9870 0.7398 Zn
0.6036 0.0130 0.2602 Zn
0.9490 0.7031 0.9162 Zn
0.7119 0.6573 0.4206 Zn
0.0510 0.2969 0.0838 Zn
0.2881 0.3427 0.5794 Zn
0.9058 0.0103 0.7252 Rh
0.0942 0.9897 0.2748 Rh
```

Properties
Magnetization: 0.000 μB/cell
Total energy: -2.76 eV/atom
Density of states at the Fermi level: 2.57 states/eV/f.u.

no.,E_form (eV/atom),calculated density (g/cm3)
1,-0.263,6.60
2,-0.276,7.70
3,0.061,6.64
4,-0.177,5.41
5,0.527,3.61
6,-0.100,5.89
7,-0.368,6.43
8,-0.267,6.21
9,-0.120,5.08
10,-0.109,5.02
11,-0.336,7.12
12,-0.260,6.02